# 1
This record from the Alexandria database describes an optimized crystal structure of SrTa2Cd2. The functional is PBE-GGA.

Cell: 8.811 8.811 2.962 Å, 90.00 90.00 90.00°
Positions (direct):
Cd 0.685 0.815 0.500
Sr 0.500 0.500 0.000
Cd 0.815 0.315 0.500
Ta 0.107 0.393 0.000
Sr 0.000 0.000 0.000
Cd 0.315 0.185 0.500
Cd 0.185 0.685 0.500
Ta 0.393 0.893 0.000
Ta 0.607 0.107 0.000
Ta 0.893 0.607 0.000

Computed properties:
energy above the most stable polymorph in this dataset	0.00	eV per formula unit
energy relative to the elements	0.46	eV per atom
theoretical density	9.739	g/cm3
D(E_F)	1.53	states/eV/atom
electronic total energy	-49.84	eV/cell



# 2
This record from the Alexandria database describes an optimized crystal structure of SrTaCd. The functional is PBE-GGA.

Cell: 6.537 6.537 6.537 Å, 152.84 141.51 47.74°
Positions (direct):
Cd 0.030 0.030 0.000
Sr 0.337 0.337 0.000
Ta 0.633 0.633 0.000

Computed properties:
energy above the most stable polymorph in this dataset	0.30	eV per formula unit
energy relative to the elements	0.67	eV per atom
theoretical density	8.001	g/cm3
D(E_F)	1.23	states/eV/atom
electronic total energy	-12.43	eV/cell



# 3
This record from the Alexandria database describes an optimized crystal structure of SrTaCd. The functional is PBE-GGA.

Cell: 5.079 5.079 5.079 Å, 60.00 60.00 60.00°
Positions (direct):
Sr 0.000 0.000 0.000
Cd 0.750 0.750 0.750
Ta 0.500 0.500 0.500

Computed properties:
energy above the most stable polymorph in this dataset	1.82	eV per formula unit
energy relative to the elements	1.18	eV per atom
theoretical density	6.830	g/cm3
D(E_F)	1.44	states/eV/atom
electronic total energy	-10.91	eV/cell